# 1
VASP calculation (PBE) on a relaxed RbNa12Sn6 crystal.

Unit cell a=8.8418 b=8.8418 c=8.8418 alpha=104.01 beta=104.01 gamma=104.01
Positions (direct):
Sn 0.6847 0.6847 0.3122
Na 0.6195 0.6195 0.9019
Na 0.6195 0.9019 0.6195
Na 0.8853 0.1147 0.5000
Rb 0.0000 0.0000 0.0000
Na 0.5000 0.8853 0.1147
Na 0.0981 0.3805 0.3805
Na 0.1147 0.8853 0.5000
Sn 0.6847 0.3122 0.6847
Sn 0.6878 0.3153 0.3153
Sn 0.3153 0.6878 0.3153
Na 0.9019 0.6195 0.6195
Na 0.1147 0.5000 0.8853
Na 0.8853 0.5000 0.1147
Sn 0.3122 0.6847 0.6847
Sn 0.3153 0.3153 0.6878
Na 0.3805 0.0981 0.3805
Na 0.3805 0.3805 0.0981
Na 0.5000 0.1147 0.8853

Results
V (Å³/f.u.): 617
D(E_F) (states/eV/cell): 4.620
Total magnetization (μB per formula unit): 0.00
Energy of formation from the pure elements (eV per atom): -0.090


# 2
VASP calculation (PBE) on a relaxed In2SiOsPt crystal.

Unit cell a=5.1364 b=4.4687 c=5.1364 alpha=90.00 beta=90.00 gamma=90.00
Positions (direct):
Pt 0.0000 0.0000 0.0000
Si 0.0000 0.5000 0.0000
In 0.5000 0.0000 0.0000
Os 0.5000 0.5000 0.5000
In 0.0000 0.0000 0.5000

Results
V (Å³/f.u.): 118
D(E_F) (states/eV/cell): 3.301
Total magnetization (μB per formula unit): 2.04
Formation energy without anion corrections (eV/atom): 0.980


# 3
VASP calculation (PBE) on a relaxed Ce4As5P crystal.

Unit cell a=4.1359 b=7.9448 c=9.2660 alpha=126.46 beta=102.90 gamma=90.00
Positions (direct):
P 0.5000 0.0000 0.0000
Ce 0.0663 0.3313 0.1326
Ce 0.6810 0.1058 0.3620
As 0.1311 0.7866 0.2622
As 0.2790 0.4317 0.5581
Ce 0.9337 0.6687 0.8674
Ce 0.3190 0.8942 0.6380
As 0.5000 0.5000 0.0000
As 0.8689 0.2134 0.7378
As 0.7210 0.5683 0.4419

Results
V (Å³/f.u.): 235
D(E_F) (states/eV/cell): 15.914
Total magnetization (μB per formula unit): 1.50
Energy of formation from the pure elements (eV per atom): -1.111


# 4
VASP calculation (PBE) on a relaxed CsTe2Au crystal.

Unit cell a=8.8243 b=8.8243 c=7.3215 alpha=52.94 beta=52.94 gamma=90.00
Positions (direct):
Te 0.3750 0.2740 0.7500
Te 0.0240 0.6250 0.2500
Te 0.7260 0.1250 0.2500
Au 0.7500 0.2500 0.5000
Au 0.0000 0.0000 0.0000
Cs 0.2500 0.7500 0.5000
Te 0.8750 0.9760 0.7500
Cs 0.5000 0.5000 0.0000

Results
V (Å³/f.u.): 149
D(E_F) (states/eV/cell): 0.373
Total magnetization (μB per formula unit): 0.00
Formation energy without anion corrections (eV/atom): -0.409


# 5
VASP calculation (PBE) on a relaxed Nd2WC2 crystal.

Unit cell a=5.8318 b=5.8318 c=10.4240 alpha=90.00 beta=90.00 gamma=90.00
Positions (direct):
W 0.6769 0.3231 0.5000
Nd 0.6967 0.3033 0.8435
W 0.3231 0.6769 0.5000
C 0.0000 0.0000 0.1430
C 0.5000 0.0000 0.5000
Nd 0.1967 0.1967 0.6565
Nd 0.3033 0.6967 0.8435
Nd 0.8033 0.8033 0.6565
C 0.0000 0.5000 0.5000
W 0.1769 0.1769 0.0000
C 0.5000 0.5000 0.3570
Nd 0.1967 0.1967 0.3435
W 0.8231 0.8231 0.0000
Nd 0.3033 0.6967 0.1565
Nd 0.8033 0.8033 0.3435
C 0.0000 0.5000 0.0000
C 0.0000 0.0000 0.8570
C 0.5000 0.5000 0.6430
Nd 0.6967 0.3033 0.1565
C 0.5000 0.0000 0.0000

Results
V (Å³/f.u.): 89
D(E_F) (states/eV/cell): 8.947
Total magnetization (μB per formula unit): 0.00
Energy of formation from the pure elements (eV per atom): -0.202


# 6
VASP calculation (PBE) on a relaxed TmLu2Au crystal.

Unit cell a=3.4358 b=3.4358 c=11.1990 alpha=81.18 beta=81.18 gamma=60.00
Positions (direct):
Lu 0.9165 0.9165 0.2506
Lu 0.0835 0.0835 0.7494
Tm 0.5000 0.5000 0.5000
Au 0.0000 0.0000 0.0000

Results
V (Å³/f.u.): 113
D(E_F) (states/eV/cell): 4.491
Total magnetization (μB per formula unit): 0.00
Energy of formation from the pure elements (eV per atom): 0.132